First-principles (PBE) data for DyY2TmTe6 after structural relaxation, as listed in Alexandria via LeMat-Bulk.

Lattice parameters (Å, degrees): 7.6734 7.6734 8.2908 62.44 62.43 60.00
Element x y z (fractional)
Te (0.4178, 0.7270, 0.7535)
Y (0.0091, 0.0091, 0.9727)
Te (0.1018, 0.4177, 0.7535)
Te (0.9215, 0.5979, 0.2515)
Te (0.2291, 0.9215, 0.2515)
Dy (0.8236, 0.8236, 0.5291)
Te (0.5979, 0.2291, 0.2515)
Y (0.5096, 0.5096, 0.4711)
Te (0.7270, 0.1018, 0.7535)
Tm (0.3243, 0.3243, 0.0272)

Formation energy (no corrections) (eV per atom): -1.366
Space-group type: R3 (146)
Calculated volume (Å³/atom): 35.735
VASP energy (eV/atom): -5.451
Spin magnetization (μB per cell): 0.00

=====

First-principles (PBE) data for Sc2SiS after structural relaxation, as listed in Alexandria via LeMat-Bulk.

Lattice parameters (Å, degrees): 5.8580 5.8580 7.4479 66.84 66.84 90.00
Element x y z (fractional)
Sc (0.6320, 0.1250, 0.2500)
Sc (0.8750, 0.8820, 0.7500)
S (0.7500, 0.2500, 0.5000)
Si (0.5000, 0.5000, 0.0000)
Si (0.2500, 0.7500, 0.5000)
S (0.0000, 0.0000, 0.0000)
Sc (0.3750, 0.3680, 0.7500)
Sc (0.1180, 0.6250, 0.2500)

Formation energy (no corrections) (eV per atom): -0.742
Excess energy over the best structure of this formula in the dataset (meV per atom): 624
Space-group type: I-42d (122)
Calculated volume (Å³/atom): 26.551
VASP energy (eV/atom): -6.296
Spin magnetization (μB per cell): 0.00

=====

First-principles (PBE) data for SrCr2W after structural relaxation, as listed in Alexandria via LeMat-Bulk.

Lattice parameters (Å, degrees): 5.8018 5.8018 5.8018 150.80 127.70 61.02
Each line ends with the local moment (μB).
Element x y z (fractional)
Cr (0.9879, 0.9879, 0.0000)  2.44
Sr (0.5075, 0.5075, 0.0000)  0.07
Cr (0.7897, 0.2897, 0.5000)  -2.70
W (0.2150, 0.7150, 0.5000)  0.02

Excess energy over the best structure of this formula in the dataset (meV per atom): 391
Space-group type: Imm2 (44)
Calculated formation energy (eV per atom): 1.07
Calculated volume (Å³/atom): 18.691
VASP energy (eV/atom): -7.401
Spin magnetization (μB per cell): 0.08